VCoAsBr2 after structural relaxation. Source: Alexandria via LeMat-Bulk, functional PBE.

The structure belongs to space group P4/mmm (No. 123); the cell edges are 5.034, 5.034 and 4.934 Å and the angles 90.00°, 90.00° and 90.00°. The asymmetric unit holds V at (0.000, 0.000, 0.000), Co at (0.500, 0.500, 0.500), As at (0.000, 0.000, 0.500) and Br at (0.000, 0.500, 0.000).

For the final energy, the calculation gives -4.224 eV per atom. For the density of states at the Fermi level, the calculation gives 8.6 states/eV/f.u.